Ta3CdI: optimized geometry, GGA-PBEsol.

POSCAR file:
```
Ta3CdI
1.0
4.989 0.000 0.000
0.000 4.989 0.000
0.000 0.000 4.989
I Cd Ta
1 1 3
Cartesian
2.494 2.494 2.494
0.000 0.000 0.000
0.000 2.494 0.000
0.000 0.000 2.494
2.494 0.000 0.000
```

Output
The value obtained for the total DFT energy (no corrections) is -5.8025 eV per atom. Its density of states at the Fermi level is 7.63 states/eV/f.u.